Material: PmSm8Tm2
Method: DFT, PBE
State: relaxed

extended XYZ file:
```
11
Lattice="5.603 -0.446 -0.311 0.388 9.920 2.647 0.388 5.899 8.403" Properties=species:S:1:pos:R:3 pbc="T T T"
Pm 0.000 0.000 0.000
Sm 1.790 4.741 5.301
Sm 1.790 6.609 2.627
Sm 4.589 10.632 5.437
Sm 1.752 8.520 5.952
Sm 4.589 8.764 8.112
Sm 1.440 2.880 2.012
Sm 4.939 12.493 8.727
Sm 4.627 6.853 4.787
Tm 4.403 4.171 2.913
Tm 1.976 11.202 7.825
```

V: 381 Å³/cell
SG: C2/m, No. 12
ΔE to the lowest computed polymorph: 37 meV per atom
energy of formation: 150 meV per atom